DFT (GGA+U) results for an optimized crystal structure of MgCr2AsO.

Cell: 4.098 4.098 5.151 Å, 90.00 90.00 90.00°
Fractional positions:
Mg 0.000 0.000 0.000
Cr 0.000 0.500 0.500
Cr 0.500 0.000 0.500
As 0.500 0.500 0.000
O 0.500 0.500 0.500

## Properties
**Symmetry**: No. 123
**Uncorrected energy**: -5.51 eV/atom